Entry 1:
! NaSc2PdO4 (GGA-PBE, optimized geometry); values from VASP
! * N(E_F): 5.89 states/eV/f.u.
! * formation energy from raw total energies: -2.216 eV per atom
&SYSTEM
  ibrav = 0, nat = 8, ntyp = 4
/
ATOMIC_SPECIES
Na 22.99 Na.upf
Sc 44.96 Sc.upf
Pd 106.42 Pd.upf
O 16.00 O.upf
ATOMIC_POSITIONS angstrom
Na 0.000 0.000 0.000
Sc 2.427 0.000 2.584
Sc 0.000 2.427 2.584
Pd 0.000 0.000 5.168
O 1.199 -1.199 3.623
O 1.228 1.228 1.545
O -1.199 1.199 3.623
O 1.199 1.199 6.714
CELL_PARAMETERS angstrom
-2.427 2.427 5.168
2.427 -2.427 5.168
2.427 2.427 -5.168

Entry 2:
! Pr2Cu2Pd5Au (GGA-PBE, optimized geometry); values from VASP
! * calculated formation energy: -569 meV/atom
! * N(E_F): 3.15 states/eV/f.u.
&SYSTEM
  ibrav = 0, nat = 20, ntyp = 4
/
ATOMIC_SPECIES
Pr 140.91 Pr.upf
Cu 63.55 Cu.upf
Pd 106.42 Pd.upf
Au 196.97 Au.upf
ATOMIC_POSITIONS angstrom
Pr 1.720 3.030 0.000
Pr 3.030 7.780 0.000
Pr 6.470 1.720 0.000
Pr 7.780 6.470 0.000
Cu 1.103 5.853 0.000
Cu 3.647 1.103 0.000
Cu 5.853 8.397 0.000
Cu 8.397 3.647 0.000
Pd 0.000 4.750 2.013
Pd 0.616 7.522 2.013
Pd 1.978 0.616 2.013
Pd 2.772 5.366 2.013
Pd 4.134 2.772 2.013
Pd 4.750 0.000 2.013
Pd 5.366 6.728 2.013
Pd 6.728 4.134 2.013
Pd 7.522 8.884 2.013
Pd 8.884 1.978 2.013
Au 0.000 0.000 0.000
Au 4.750 4.750 0.000
CELL_PARAMETERS angstrom
9.500 0.000 0.000
0.000 9.500 0.000
0.000 0.000 4.026

Calculated total magnetic moment, 0.125, 0.000 μB per atom (same order as the records).